The following is a DFT calculation (PBE) of a relaxed NbAlZn crystal.

Results
**Total DFT energy (no corrections)**: -4.77 eV/atom
**Symmetry**: Pmmm, No. 47

```
6
Lattice="3.802 0.000 0.000 0.000 3.913 0.000 0.000 0.000 7.581" Properties=species:S:1:pos:R:3 pbc="T T T"
Nb 0.000 1.957 5.686
Nb 0.000 1.956 1.895
Zn 0.000 0.000 3.791
Zn 0.000 0.000 0.000
Al 1.901 3.913 1.895
Al 1.901 0.000 5.686
```